The following is a PBE calculation of an optimized crystal structure of TmTh4C4, from Alexandria.

Calculated values
SG: I4/m (87)
Total energy in eV per atom: -8.166

Lattice parameters (Å, degrees): 5.367 6.435 6.435 79.97 65.35 65.34
Fractional coordinates of all 9 atoms:
Th: 0.605 0.590 0.201
C: 0.909 0.390 0.791
C: 0.299 0.791 0.610
C: 0.701 0.209 0.390
Th: 0.194 0.201 0.410
Th: 0.806 0.799 0.590
Tm: 0.000 0.000 0.000
Th: 0.395 0.410 0.799
C: 0.091 0.610 0.209

---

The following is a PBE calculation of an optimized crystal structure of DyHo3Ga2, from Alexandria.

Calculated values
SG: Pmc2_1 (26)
Relative energy among the computed polymorphs in eV/atom: 0.0000

Lattice parameters (Å, degrees): 4.921 6.569 9.427 90.00 90.00 90.00
Fractional coordinates of all 12 atoms:
Ho: 0.500 0.672 0.179
Ga: 0.500 0.210 0.140
Dy: 0.500 0.535 0.549
Ho: 0.000 0.465 0.950
Ga: 0.000 0.790 0.360
Ga: 0.500 0.710 0.860
Dy: 0.500 0.035 0.451
Ho: 0.000 0.328 0.319
Ga: 0.000 0.290 0.640
Ho: 0.000 0.828 0.681
Ho: 0.000 0.965 0.050
Ho: 0.500 0.172 0.821

---

The following is a PBE calculation of an optimized crystal structure of NiTeCl2, from Alexandria.

Calculated values
SG: Cmmm (65)
Relative energy among the computed polymorphs in eV/atom: 0.2142

Lattice parameters (Å, degrees): 3.558 3.558 10.762 90.00 90.00 128.29
Fractional coordinates of all 4 atoms:
Te: 0.500 0.500 0.750
Cl: 0.000 0.000 0.391
Cl: 0.000 0.000 0.109
Ni: 0.500 0.500 0.250

---

Number 1: density of states at the Fermi level 6.5 states/eV per cell, magnetic moment 0.00 Bohr magnetons per cell. Number 2: density of states at the Fermi level 10.7 states/eV per cell, magnetic moment 0.00 Bohr magnetons per cell. Number 3: density of states at the Fermi level 3.9 states/eV per cell, magnetic moment 0.00 Bohr magnetons per cell.